No. 1
Below is crystalline Cs2UHg2Cl6 at its relaxed geometry, with properties calculated at the GGA-PBE level.

Structure (POSCAR):
```
Cs2UHg2Cl6
1.0
8.588 -0.078 -0.080
-4.313 7.427 -0.080
-1.695 -2.913 8.296
Cs U Hg Cl
2 1 2 6
direct
0.333 0.667 0.500
0.667 0.333 0.500
0.000 0.000 0.500
0.802 0.198 0.000
0.198 0.802 0.000
0.813 0.813 0.676
0.074 0.329 0.678
0.187 0.187 0.324
0.329 0.074 0.678
0.926 0.671 0.322
0.671 0.926 0.322
```

Results
Volume ... 47.5 A^3/atom
Space-group type ... C2/m (12)
Formation energy from raw total energies ... -1.53 eV per atom
Total energy ... -41.52 eV for the cell shown

No. 2
Below is crystalline Rh2W at its relaxed geometry, with properties calculated at the GGA-PBE level.

Structure (POSCAR):
```
Rh2W
1.0
2.727 0.000 0.000
0.000 3.889 0.000
0.000 0.000 18.246
Rh W
8 4
direct
0.000 0.250 0.046
0.000 0.250 0.190
0.000 0.750 0.810
0.000 0.750 0.954
0.500 0.250 0.310
0.500 0.250 0.454
0.500 0.750 0.546
0.500 0.750 0.690
0.000 0.250 0.612
0.000 0.750 0.388
0.500 0.250 0.888
0.500 0.750 0.112
```

Results
Volume ... 16.1 A^3/atom
Space-group type ... Imma (74)
Total energy ... -108.63 eV for the cell shown

No. 3
Below is crystalline BC2 at its relaxed geometry, with properties calculated at the GGA-PBE level.

Structure (POSCAR):
```
BC2
1.0
-4.079 2.935 4.310
-5.903 4.037 -0.585
4.319 -5.704 -0.539
B C
4 8
direct
0.979 0.326 0.654
0.562 0.291 0.270
0.533 0.162 0.372
0.011 0.006 0.005
0.156 0.141 0.015
0.618 0.960 0.658
0.471 0.841 0.631
0.118 0.787 0.331
0.016 0.668 0.348
0.653 0.618 0.035
0.501 0.498 0.003
0.132 0.454 0.678
```

Results
Offset from the most stable computed form ... 75 meV per atom
Volume ... 6.3 A^3/atom
Space-group type ... Cm (8)
Total energy ... -96.72 eV for the cell shown

No. 4
Below is crystalline Y3Mg7Cd2 at its relaxed geometry, with properties calculated at the GGA-PBE level.

Structure (POSCAR):
```
Y3Mg7Cd2
1.0
-5.134 1.134 2.923
-4.288 -4.210 0.293
0.721 -4.397 9.163
Y Mg Cd
3 7 2
direct
0.000 0.000 0.000
0.856 0.856 0.431
0.144 0.144 0.569
0.500 0.500 0.500
0.922 0.415 0.248
0.415 0.922 0.248
0.415 0.415 0.248
0.078 0.585 0.752
0.585 0.585 0.752
0.585 0.078 0.752
0.666 0.666 0.003
0.334 0.334 0.997
```

Results
Offset from the most stable computed form ... 0 meV per atom
Volume ... 25.0 A^3/atom
Space-group type ... R-3m (166)
Total energy ... -33.78 eV for the cell shown

No. 5
Below is crystalline Tb5Sm2Er3 at its relaxed geometry, with properties calculated at the GGA-PBE level.

Structure (POSCAR):
```
Tb5Sm2Er3
1.0
6.774 0.000 0.000
3.387 11.452 2.858
3.387 5.795 10.283
Tb Sm Er
10 4 6
direct
0.250 0.500 0.500
0.750 0.500 0.500
0.500 0.750 0.750
0.000 0.250 0.250
0.500 0.250 0.250
0.000 0.750 0.750
0.125 0.467 0.283
0.875 0.533 0.717
0.625 0.283 0.467
0.375 0.717 0.533
0.124 0.776 0.975
0.876 0.224 0.025
0.624 0.975 0.776
0.376 0.025 0.224
0.250 0.000 0.000
0.750 0.000 0.000
0.377 0.372 0.874
0.623 0.628 0.126
0.877 0.874 0.372
0.123 0.126 0.628
```

Results
Offset from the most stable computed form ... 208 meV per atom
Volume ... 34.3 A^3/atom
Space-group type ... Ibam (72)
Total energy ... -84.43 eV for the cell shown